Density functional theory data (PBE+U) for a relaxed structure of BeIn2MoO.

Unit cell a=4.588 b=4.819 c=4.588 alpha=90.00 beta=90.00 gamma=90.00
Each line ends with the local moment (μB).
Atoms (fractional coordinates):
Be  0.000  0.000  0.000  -0.05
Mo  0.000  0.500  0.000  3.63
O  0.500  0.500  0.500  -0.09
In  0.000  0.000  0.500  -0.01
In  0.500  0.000  0.000  0.02

For the total energy, the calculation gives -0.2555 Ry/atom. For the magnetic moment, the calculation gives 4.007 μB/cell. Its crystal system is tetragonal. Its space-group type is P4/mmm, No. 123.

***

Density functional theory data (PBE+U) for a relaxed structure of BeInMoO4.

Unit cell a=5.755 b=6.040 c=6.040 alpha=61.75 beta=61.55 gamma=61.55
Each line ends with the local moment (μB).
Atoms (fractional coordinates):
Be  0.623  0.627  0.127  0.01
Be  0.377  0.373  0.873  0.01
In  0.000  0.000  0.000  0.00
In  0.000  0.500  0.500  0.00
Mo  0.500  0.000  0.500  2.04
Mo  0.000  0.000  0.500  2.04
O  0.737  0.748  0.778  0.02
O  0.263  0.722  0.752  0.02
O  0.737  0.278  0.248  0.02
O  0.263  0.252  0.222  0.02
O  0.266  0.748  0.248  0.02
O  0.737  0.748  0.248  0.02
O  0.263  0.252  0.752  0.02
O  0.734  0.252  0.752  0.02

For the total energy, the calculation gives -0.4731 Ry/atom. For the magnetic moment, the calculation gives 4.503 μB/cell. Its crystal system is orthorhombic. Its space-group type is Imma, No. 74.